(w)
Entry from Alexandria: a relaxed structure of Bi2TePb (PBE-GGA).

Cell: 6.8156 6.8156 9.3292 Å, 68.57 68.57 90.00°
Sites, in units of the cell vectors:
Pb: 0.0000 0.0000 0.0000
Pb: 0.7500 0.2500 0.5000
Te: 0.5000 0.5000 0.0000
Te: 0.2500 0.7500 0.5000
Bi: 0.6118 0.1250 0.2500
Bi: 0.1382 0.6250 0.2500
Bi: 0.3750 0.3882 0.7500
Bi: 0.8750 0.8618 0.7500



(x)
Entry from Alexandria: a relaxed structure of Bi2TePb (PBE-GGA).

Cell: 5.5852 5.5852 5.5852 Å, 60.00 60.00 60.00°
Sites, in units of the cell vectors:
Pb: 0.5000 0.5000 0.5000
Te: 0.0000 0.0000 0.0000
Bi: 0.2500 0.2500 0.2500
Bi: 0.7500 0.7500 0.7500



Most stable structure among those shown: (x). Next: +0.081 eV/atom.